# Mn2Ir8Os (PBE-GGA, relaxed)
data_Mn2Ir8Os
_chemical_formula_sum 'Mn4 Ir16 Os2'
_cell_length_a 13.825
_cell_length_b 3.849
_cell_length_c 6.092
_cell_angle_alpha 90.00
_cell_angle_beta 105.63
_cell_angle_gamma 90.00
_space_group_name_H-M_alt 'C 1 2/m 1'
_space_group_IT_number 12
loop_
_space_group_symop_operation_xyz
'x,y,z'
'-x,-y,-z'
'-x,y,-z'
'x,-y,z'
'x+1/2,y+1/2,z'
'-x+1/2,-y+1/2,-z'
'-x+1/2,y+1/2,-z'
'x+1/2,-y+1/2,z'
loop_
_atom_site_label
_atom_site_type_symbol
_atom_site_fract_x
_atom_site_fract_y
_atom_site_fract_z
Mn1 Mn 0.225 0.000 0.141
Ir1 Ir 0.045 0.000 0.227
Ir2 Ir 0.096 0.500 0.953
Ir3 Ir 0.137 0.000 0.683
Ir4 Ir 0.182 0.500 0.407
Os1 Os 0.000 0.500 0.500
# Energy = -9.206 eV/atom
# E_form = -74 meV per atom



# MnIrOs4 (PBE-GGA, relaxed)
data_MnIrOs4
_chemical_formula_sum 'Mn4 Ir4 Os16'
_cell_length_a 7.217
_cell_length_b 7.217
_cell_length_c 7.217
_cell_angle_alpha 90.00
_cell_angle_beta 90.00
_cell_angle_gamma 90.00
_space_group_name_H-M_alt 'F -4 3 m'
_space_group_IT_number 216
_space_group_name_Hall 'F -4 2 3'
loop_
_atom_site_label
_atom_site_type_symbol
_atom_site_fract_x
_atom_site_fract_y
_atom_site_fract_z
Mn1 Mn 0.000 0.000 0.000
Ir1 Ir 0.250 0.250 0.750
Os1 Os 0.124 0.124 0.376
# Energy = -9.738 eV/atom
# E_form = 753 meV per atom



# MnIr2Os (PBE-GGA, relaxed)
data_MnIr2Os
_chemical_formula_sum 'Mn4 Ir8 Os4'
_cell_length_a 6.141
_cell_length_b 6.141
_cell_length_c 6.141
_cell_angle_alpha 90.00
_cell_angle_beta 90.00
_cell_angle_gamma 90.00
_space_group_name_H-M_alt 'F -4 3 m'
_space_group_IT_number 216
_space_group_name_Hall 'F -4 2 3'
loop_
_atom_site_label
_atom_site_type_symbol
_atom_site_fract_x
_atom_site_fract_y
_atom_site_fract_z
Mn1 Mn 0.000 0.000 0.000
Ir1 Ir 0.000 0.000 0.500
Ir2 Ir 0.250 0.250 0.750
Os1 Os 0.250 0.250 0.250
# Energy = -9.144 eV/atom
# E_form = 386 meV per atom



# Mn4IrOs (PBE-GGA, relaxed)
data_Mn4IrOs
_chemical_formula_sum 'Mn16 Ir4 Os4'
_cell_length_a 6.604
_cell_length_b 6.604
_cell_length_c 6.604
_cell_angle_alpha 90.00
_cell_angle_beta 90.00
_cell_angle_gamma 90.00
_space_group_name_H-M_alt 'F -4 3 m'
_space_group_IT_number 216
_space_group_name_Hall 'F -4 2 3'
loop_
_atom_site_label
_atom_site_type_symbol
_atom_site_fract_x
_atom_site_fract_y
_atom_site_fract_z
Mn1 Mn 0.124 0.124 0.376
Ir1 Ir 0.250 0.250 0.750
Os1 Os 0.000 0.000 0.000
# Energy = -9.452 eV/atom
# E_form = 9 meV per atom



# MnIr2Os (PBE-GGA, relaxed)
data_MnIr2Os
_chemical_formula_sum 'Mn2 Ir4 Os2'
_cell_length_a 9.001
_cell_length_b 2.723
_cell_length_c 4.652
_cell_angle_alpha 90.00
_cell_angle_beta 100.12
_cell_angle_gamma 90.00
_space_group_name_H-M_alt 'C 1 2/m 1'
_space_group_IT_number 12
loop_
_space_group_symop_operation_xyz
'x,y,z'
'-x,-y,-z'
'-x,y,-z'
'x,-y,z'
'x+1/2,y+1/2,z'
'-x+1/2,-y+1/2,-z'
'-x+1/2,y+1/2,-z'
'x+1/2,-y+1/2,z'
loop_
_atom_site_label
_atom_site_type_symbol
_atom_site_fract_x
_atom_site_fract_y
_atom_site_fract_z
Mn1 Mn 0.000 0.000 0.000
Ir1 Ir 0.250 0.000 0.750
Os1 Os 0.000 0.500 0.500
# Energy = -9.570 eV/atom
# E_form = -40 meV per atom



# MnIr2Os (PBE-GGA, relaxed)
data_MnIr2Os
_chemical_formula_sum 'Mn3 Ir6 Os3'
_cell_length_a 2.7410
_cell_length_b 2.7410
_cell_length_c 26.0111
_cell_angle_alpha 90.00
_cell_angle_beta 90.00
_cell_angle_gamma 120.00
_space_group_name_H-M_alt 'R -3 m'
_space_group_IT_number 166
_space_group_name_Hall '-R 3 2"'
loop_
_atom_site_label
_atom_site_type_symbol
_atom_site_fract_x
_atom_site_fract_y
_atom_site_fract_z
Mn1 Mn 0.0000 0.0000 0.0000
Ir1 Ir 0.0000 0.0000 0.2517
Os1 Os 0.0000 0.0000 0.5000
# Energy = -9.502 eV/atom
# E_form = 29 meV per atom